# 1
A relaxed structure of Sr2BiBr, computed with PBE. Values from VASP.

- Uncorrected formation energy: -1.358 eV/atom
- Symmetry: C2/c

Cell and atoms, written as Quantum ESPRESSO input:
```
&SYSTEM
  ibrav = 0, nat = 16, ntyp = 3
/
ATOMIC_SPECIES
Sr 87.62 Sr.upf
Bi 208.98 Bi.upf
Br 79.90 Br.upf
ATOMIC_POSITIONS angstrom
Sr -1.272 3.563 5.234
Sr 1.206 1.172 1.589
Sr -1.132 -1.172 5.005
Sr 1.067 -3.563 1.818
Sr 3.739 3.563 5.013
Sr 5.937 1.172 1.826
Sr 3.599 -1.172 5.242
Sr 6.077 -3.563 1.598
Bi 3.572 8.401 1.708
Bi 3.572 3.484 1.708
Bi 1.234 -3.484 5.124
Bi 1.234 -8.401 5.124
Br 1.234 5.821 5.124
Br 1.234 1.301 5.124
Br 3.572 -1.301 1.708
Br 3.572 -5.821 1.708
CELL_PARAMETERS angstrom
4.741 -9.516 0.000
4.741 9.516 0.000
-4.676 0.000 6.832
```

---

# 2
A relaxed structure of KMgTc, computed with PBE. Values from VASP.

- Polymorph energy (0 for the lowest one): 9.4 meV/atom
- Formation enthalpy at 0 K: 0.83 eV/atom
- Symmetry: Fmm2

Cell and atoms, written as Quantum ESPRESSO input:
```
&SYSTEM
  ibrav = 0, nat = 12, ntyp = 3
/
ATOMIC_SPECIES
K 39.10 K.upf
Mg 24.30 Mg.upf
Tc 98.00 Tc.upf
ATOMIC_POSITIONS angstrom
K 0.000 0.000 0.000
K 0.000 2.303 8.437
K 1.673 0.000 8.437
K 1.673 2.303 0.000
Mg 0.000 0.000 5.012
Mg 0.000 2.303 13.448
Mg 1.673 0.000 13.448
Mg 1.673 2.303 5.012
Tc 0.000 0.000 11.271
Tc 0.000 2.303 2.834
Tc 1.673 0.000 2.834
Tc 1.673 2.303 11.271
CELL_PARAMETERS angstrom
3.346 0.000 0.000
0.000 4.607 0.000
0.000 0.000 16.873
```